1.
16
Lattice="7.284 0.000 0.000 0.000 7.284 0.000 0.000 0.000 10.493" Properties=species:S:1:pos:R:3 comment="La14MgIn (GGA-PBE, relaxed)" magnetic_moment_mub_per_fu=0.000 e_tot_ev_per_atom=-4.651 formation_enthalpy_0k_ev_per_atom=-0.0684 pbc="T T T"
La 0.000 0.000 0.000
La 0.000 3.642 0.000
La 0.000 3.642 5.247
La 1.805 1.805 2.681
La 1.805 1.805 7.812
La 1.805 5.479 2.681
La 1.805 5.479 7.812
La 3.642 0.000 0.000
La 3.642 0.000 5.247
La 3.642 3.642 0.000
La 5.479 1.805 2.681
La 5.479 1.805 7.812
La 5.479 5.479 2.681
La 5.479 5.479 7.812
Mg 3.642 3.642 5.247
In 0.000 0.000 5.247



2.
4
Lattice="1.823 1.052 7.321 -1.823 1.052 7.321 0.000 -2.105 7.321" Properties=species:S:1:pos:R:3 comment="Pt2AuBr (GGA-PBE, relaxed)" magnetic_moment_mub_per_fu=0.000 e_tot_ev_per_atom=-3.999 pbc="T T T"
Pt 0.000 0.000 0.000
Pt 0.000 0.000 5.787
Au 0.000 0.000 11.434
Br 0.000 0.000 16.189



3.
11
Lattice="-2.055 2.055 5.094 2.055 -2.055 5.094 2.055 2.055 -5.094" Properties=species:S:1:pos:R:3 comment="CeNi2H8 (GGA-PBE, relaxed)" magnetic_moment_mub_per_fu=1.049 e_tot_ev_per_atom=-4.034 pbc="T T T"
Ce 0.000 0.000 0.000
Ni 2.055 0.000 2.547
Ni 0.000 2.055 2.547
H 1.147 1.147 -1.669
H 0.908 -0.908 3.426
H 1.147 1.147 1.669
H 0.908 -0.908 6.763
H -0.908 0.908 3.426
H 0.908 0.908 3.426
H -0.908 0.908 6.763
H 0.908 0.908 6.763



4.
3
Lattice="0.000 2.847 2.847 2.847 0.000 2.847 2.847 2.847 0.000" Properties=species:S:1:pos:R:3 comment="LiNiCl (GGA-PBE, relaxed)" magnetic_moment_mub_per_fu=0.363 e_tot_ev_per_atom=-3.038 pbc="T T T"
Li 0.000 0.000 0.000
Ni 4.271 4.271 4.271
Cl 1.424 1.424 1.424